# 1
# LiVPO4F (meta-GGA SCAN, single point on PBEsol structure)
data_LiVPO4F
_cell_length_a 5.161
_cell_length_b 5.293
_cell_length_c 7.212
_cell_angle_alpha 106.76
_cell_angle_beta 108.51
_cell_angle_gamma 98.35
_symmetry_space_group_name_H-M 'P 1'
_symmetry_Int_Tables_number 1
loop_
_symmetry_equiv_pos_as_xyz
'x,y,z'
loop_
_atom_site_label
_atom_site_fract_x
_atom_site_fract_y
_atom_site_fract_z
Li1 0.234 0.384 0.310
Li2 0.766 0.616 0.690
V1 0.500 0.000 0.000
V2 0.500 0.000 0.500
P1 0.180 0.361 0.738
P2 0.820 0.639 0.262
O1 0.132 0.759 0.417
O2 0.191 0.665 0.842
O3 0.254 0.220 0.897
O4 0.377 0.339 0.611
O5 0.623 0.661 0.389
O6 0.746 0.780 0.103
O7 0.809 0.335 0.158
O8 0.868 0.241 0.583
F1 0.373 0.068 0.235
F2 0.627 0.932 0.765
# - ΔE_f (raw): -2.76 eV per atom
# - Mass density: 3.30 g cm⁻³
# - Crystal system: triclinic
# - Total magnetic moment: 2.00 μB per formula unit

=====

# 2
# Li2VPO4F (meta-GGA SCAN, single point on PBEsol structure)
data_Li2VPO4F
_cell_length_a 5.355
_cell_length_b 5.355
_cell_length_c 7.271
_cell_angle_alpha 108.00
_cell_angle_beta 108.00
_cell_angle_gamma 95.13
_symmetry_space_group_name_H-M 'P 1'
_symmetry_Int_Tables_number 1
loop_
_symmetry_equiv_pos_as_xyz
'x,y,z'
loop_
_atom_site_label
_atom_site_fract_x
_atom_site_fract_y
_atom_site_fract_z
Li1 0.130 0.130 0.408
Li2 0.443 0.175 0.815
Li3 0.825 0.557 0.185
Li4 0.870 0.870 0.592
V1 0.348 0.652 0.250
V2 0.348 0.652 0.750
P1 0.702 0.298 0.500
P2 0.993 0.007 0.000
O1 0.001 0.354 0.640
O2 0.031 0.822 0.129
O3 0.060 0.298 0.158
O4 0.178 0.969 0.871
O5 0.500 0.328 0.615
O6 0.646 0.999 0.360
O7 0.672 0.500 0.385
O8 0.702 0.940 0.842
F1 0.208 0.792 0.500
F2 0.476 0.524 0.000
# - ΔE_f (raw): -2.65 eV per atom
# - Mass density: 3.22 g cm⁻³
# - Crystal system: monoclinic
# - D(E_F): 0.0 states/eV/cell
# - Total magnetic moment: 3.00 μB per formula unit

=====

# 3
# LiPdO2F (meta-GGA SCAN, single point on PBEsol structure)
data_LiPdO2F
_cell_length_a 4.000
_cell_length_b 4.000
_cell_length_c 3.141
_cell_angle_alpha 90.00
_cell_angle_beta 90.00
_cell_angle_gamma 90.00
_symmetry_space_group_name_H-M 'P 1'
_symmetry_Int_Tables_number 1
loop_
_symmetry_equiv_pos_as_xyz
'x,y,z'
loop_
_atom_site_label
_atom_site_fract_x
_atom_site_fract_y
_atom_site_fract_z
Li1 0.000 0.000 0.000
Pd1 0.500 0.500 0.000
O1 0.000 0.500 0.500
O2 0.500 0.000 0.500
F1 0.000 0.000 0.500
# - ΔE_f (raw): 0.02 eV per atom
# - Mass density: 5.43 g cm⁻³
# - Crystal system: tetragonal
# - D(E_F): 4.2 states/eV/cell
# - Total magnetic moment: 0.00 μB per formula unit

=====

# 4
# LiPdO2F (meta-GGA SCAN, single point on PBEsol structure)
data_LiPdO2F
_cell_length_a 3.821
_cell_length_b 3.821
_cell_length_c 4.306
_cell_angle_alpha 90.00
_cell_angle_beta 90.00
_cell_angle_gamma 90.00
_symmetry_space_group_name_H-M 'P 1'
_symmetry_Int_Tables_number 1
loop_
_symmetry_equiv_pos_as_xyz
'x,y,z'
loop_
_atom_site_label
_atom_site_fract_x
_atom_site_fract_y
_atom_site_fract_z
Li1 0.000 0.000 0.000
Pd1 0.500 0.500 0.500
O1 0.000 0.500 0.500
O2 0.500 0.000 0.500
F1 0.500 0.500 0.000
# - ΔE_f (raw): -0.89 eV per atom
# - Mass density: 4.34 g cm⁻³
# - Crystal system: tetragonal
# - D(E_F): 2.4 states/eV/cell
# - Total magnetic moment: 1.54 μB per formula unit

=====

# 5
# RbLiO2F (meta-GGA SCAN, single point on PBEsol structure)
data_RbLiO2F
_cell_length_a 3.979
_cell_length_b 3.979
_cell_length_c 4.246
_cell_angle_alpha 90.00
_cell_angle_beta 90.00
_cell_angle_gamma 90.00
_symmetry_space_group_name_H-M 'P 1'
_symmetry_Int_Tables_number 1
loop_
_symmetry_equiv_pos_as_xyz
'x,y,z'
loop_
_atom_site_label
_atom_site_fract_x
_atom_site_fract_y
_atom_site_fract_z
Rb1 0.000 0.000 0.000
Li1 0.500 0.500 0.500
O1 0.000 0.500 0.500
O2 0.500 0.000 0.500
F1 0.500 0.500 0.000
# - ΔE_f (raw): -1.17 eV per atom
# - Mass density: 3.54 g cm⁻³
# - Crystal system: tetragonal
# - D(E_F): 1.3 states/eV/cell
# - Total magnetic moment: 3.00 μB per formula unit

=====

# 6
# LiReO2F4 (meta-GGA SCAN, single point on PBEsol structure)
data_LiReO2F4
_cell_length_a 4.725
_cell_length_b 4.725
_cell_length_c 8.954
_cell_angle_alpha 90.00
_cell_angle_beta 90.00
_cell_angle_gamma 90.00
_symmetry_space_group_name_H-M 'P 1'
_symmetry_Int_Tables_number 1
loop_
_symmetry_equiv_pos_as_xyz
'x,y,z'
loop_
_atom_site_label
_atom_site_fract_x
_atom_site_fract_y
_atom_site_fract_z
Li1 0.000 0.500 0.080
Li2 0.500 0.000 0.920
Re1 0.000 0.500 0.727
Re2 0.500 0.000 0.273
O1 0.199 0.699 0.608
O2 0.301 0.199 0.392
O3 0.699 0.801 0.392
O4 0.801 0.301 0.608
F1 0.186 0.686 0.906
F2 0.222 0.722 0.237
F3 0.278 0.222 0.763
F4 0.314 0.186 0.094
F5 0.686 0.814 0.094
F6 0.722 0.778 0.763
F7 0.778 0.278 0.237
F8 0.814 0.314 0.906
# - ΔE_f (raw): -2.31 eV per atom
# - Mass density: 5.00 g cm⁻³
# - Crystal system: tetragonal
# - D(E_F): 0.0 states/eV/cell
# - Total magnetic moment: 0.07 μB per formula unit

=====

Among the records above, which one has the lowest ΔE_f (raw)?
LiVPO4F

=====

Please write out number 1 again, unchanged.
# LiVPO4F (meta-GGA SCAN, single point on PBEsol structure)
data_LiVPO4F
_cell_length_a 5.161
_cell_length_b 5.293
_cell_length_c 7.212
_cell_angle_alpha 106.76
_cell_angle_beta 108.51
_cell_angle_gamma 98.35
_symmetry_space_group_name_H-M 'P 1'
_symmetry_Int_Tables_number 1
loop_
_symmetry_equiv_pos_as_xyz
'x,y,z'
loop_
_atom_site_label
_atom_site_fract_x
_atom_site_fract_y
_atom_site_fract_z
Li1 0.234 0.384 0.310
Li2 0.766 0.616 0.690
V1 0.500 0.000 0.000
V2 0.500 0.000 0.500
P1 0.180 0.361 0.738
P2 0.820 0.639 0.262
O1 0.132 0.759 0.417
O2 0.191 0.665 0.842
O3 0.254 0.220 0.897
O4 0.377 0.339 0.611
O5 0.623 0.661 0.389
O6 0.746 0.780 0.103
O7 0.809 0.335 0.158
O8 0.868 0.241 0.583
F1 0.373 0.068 0.235
F2 0.627 0.932 0.765
# - ΔE_f (raw): -2.76 eV per atom
# - Mass density: 3.30 g cm⁻³
# - Crystal system: triclinic
# - Total magnetic moment: 2.00 μB per formula unit